[1]
The following is a DFT calculation (GGA-PBE) of a relaxed structure of SrAl2As. Values from VASP.

Summary:
Its size of the total moment is 0.0 μB/f.u. The calculation puts the formation energy at -193 meV/atom.

Geometry as Quantum ESPRESSO input:
```
&SYSTEM
  ibrav = 0, nat = 4, ntyp = 3
/
ATOMIC_SPECIES
Sr 87.62 Sr.upf
Al 26.98 Al.upf
As 74.92 As.upf
ATOMIC_POSITIONS crystal
Sr 0.0000 0.0000 0.0000
Al 0.0000 0.5000 0.5000
Al 0.5000 0.0000 0.5000
As 0.5000 0.5000 0.0000
CELL_PARAMETERS angstrom
4.3426 0.0000 0.0000
0.0000 4.3426 0.0000
0.0000 0.0000 4.8518
```



[2]
The following is a DFT calculation (GGA-PBE) of a relaxed structure of Pm6TaSn10. Values from VASP.

Summary:
Its size of the total moment is 0.0 μB/f.u. The calculation puts the formation energy at -497 meV/atom.

Geometry as Quantum ESPRESSO input:
```
&SYSTEM
  ibrav = 0, nat = 17, ntyp = 3
/
ATOMIC_SPECIES
Pm 145.00 Pm.upf
Ta 180.95 Ta.upf
Sn 118.71 Sn.upf
ATOMIC_POSITIONS crystal
Pm 0.0000 0.3876 0.2584
Pm 0.0000 0.6124 0.7416
Pm 0.3876 0.0000 0.2584
Pm 0.3876 0.3876 0.7416
Pm 0.6124 0.0000 0.7416
Pm 0.6124 0.6124 0.2584
Ta 0.0000 0.0000 0.5000
Sn 0.0000 0.2321 0.7915
Sn 0.0000 0.7679 0.2085
Sn 0.2321 0.0000 0.7915
Sn 0.2321 0.2321 0.2085
Sn 0.3333 0.6667 0.0000
Sn 0.3333 0.6667 0.5000
Sn 0.6667 0.3333 0.0000
Sn 0.6667 0.3333 0.5000
Sn 0.7679 0.0000 0.2085
Sn 0.7679 0.7679 0.7915
CELL_PARAMETERS angstrom
9.3297 0.0000 0.0000
-4.6649 8.0798 0.0000
0.0000 0.0000 6.2346
```



[3]
The following is a DFT calculation (GGA-PBE) of a relaxed structure of LiCu. Values from VASP.

Summary:
Its size of the total moment is 0.0 μB/f.u. The calculation puts the formation energy at -36 meV/atom.

Geometry as Quantum ESPRESSO input:
```
&SYSTEM
  ibrav = 0, nat = 4, ntyp = 2
/
ATOMIC_SPECIES
Li 6.94 Li.upf
Cu 63.55 Cu.upf
ATOMIC_POSITIONS crystal
Li 0.1178 0.2356 0.3643
Li 0.8822 0.7644 0.6357
Cu 0.3713 0.7382 0.1129
Cu 0.6287 0.2618 0.8871
CELL_PARAMETERS angstrom
2.5581 0.0000 0.0000
-1.2602 4.3740 0.0000
-0.0312 -0.6165 4.6687
```